Record 1
A plane-wave DFT calculation with GGA-PBE was carried out for a relaxed ScTc2Pb crystal.

Unit cell a=3.4294 b=3.4294 c=6.1207 alpha=90.00 beta=90.00 gamma=90.00
Closest atoms and distances in Å follow each position.
Atoms (fractional coordinates):
Sc 0.0000 0.0000 0.0000  8 Tc 2.86, 2 Pb 3.06
Tc 0.5000 0.5000 0.2463  4 Sc 2.86, 4 Pb 2.88, 2 Tc 3.02-3.11
Tc 0.5000 0.5000 0.7537  4 Sc 2.86, 4 Pb 2.88, 2 Tc 3.02-3.11
Pb 0.0000 0.0000 0.5000  8 Tc 2.88, 2 Sc 3.06

Calculated values
Offset from the most stable computed form (eV/atom): 0.302
Energy of formation (meV per atom): 286

=====

Record 2
A plane-wave DFT calculation with GGA-PBE was carried out for a relaxed SiPtSe2 crystal.

Unit cell a=2.8991 b=4.9196 c=4.9274 alpha=90.00 beta=90.00 gamma=90.00
Closest atoms and distances in Å follow each position.
Atoms (fractional coordinates):
Si 0.0000 0.0000 0.0000  4 Pt 2.86, 4 Se 2.86, 2 Si 2.90
Pt 0.5000 0.5000 0.0000  4 Si 2.86, 4 Se 2.86, 2 Pt 2.90
Se 0.0000 0.5000 0.5000  6 Se 2.86-2.90, 4 Pt 2.86
Se 0.5000 0.0000 0.5000  6 Se 2.86-2.90, 4 Si 2.86

Calculated values
Formation energy without anion corrections (meV per atom): 404

=====

Record 3
A plane-wave DFT calculation with GGA-PBE was carried out for a relaxed LiZrPb2 crystal.

Unit cell a=4.9504 b=4.9504 c=6.4773 alpha=98.86 beta=98.86 gamma=38.74
Closest atoms and distances in Å follow each position.
Atoms (fractional coordinates):
Li 0.0000 0.0000 0.0000  6 Pb 3.03, 2 Li 3.28
Zr 0.5000 0.5000 0.5000  6 Pb 3.07-3.14, 2 Zr 3.28
Pb 0.2539 0.2539 0.7617  3 Li 3.03, 3 Zr 3.07-3.14, 2 Pb 3.28
Pb 0.7461 0.7461 0.2383  3 Li 3.03, 3 Zr 3.07-3.14, 2 Pb 3.28

Calculated values
Energy of formation (meV per atom): -51

=====

Record 4
A plane-wave DFT calculation with GGA-PBE was carried out for a relaxed BaMnGa3 crystal.

Unit cell a=4.6908 b=4.6908 c=4.6908 alpha=90.00 beta=90.00 gamma=90.00
Closest atoms and distances in Å follow each position.
Atoms (fractional coordinates):
Ba 0.0000 0.0000 0.0000  12 Ga 3.32
Mn 0.5000 0.5000 0.5000  6 Ga 2.35
Ga 0.0000 0.5000 0.5000  2 Mn 2.35
Ga 0.5000 0.0000 0.5000  2 Mn 2.35
Ga 0.5000 0.5000 0.0000  2 Mn 2.35

Calculated values
Energy of formation (meV per atom): -315

=====

Record 5
A plane-wave DFT calculation with GGA-PBE was carried out for a relaxed AlTl2Zn crystal.

Unit cell a=3.3895 b=3.3895 c=8.5066 alpha=90.00 beta=90.00 gamma=90.00
Closest atoms and distances in Å follow each position.
Atoms (fractional coordinates):
Al 0.0000 0.0000 0.0000  4 Zn 2.72
Tl 0.0000 0.0000 0.5992  4 Zn 3.21, 4 Tl 3.39, 1 Al 3.41
Tl 0.5000 0.5000 0.2551  4 Al 3.23, 4 Tl 3.39, 1 Zn 3.45
Zn 0.5000 0.5000 0.8498  4 Al 2.72

Calculated values
Energy of formation (meV per atom): 142

=====

Record 6
A plane-wave DFT calculation with GGA-PBE was carried out for a relaxed Cs3CdBi crystal.

Unit cell a=8.8783 b=10.2739 c=12.7002 alpha=90.00 beta=92.42 gamma=90.00
Closest atoms and distances in Å follow each position.
Atoms (fractional coordinates):
Cs 0.1884 0.1793 0.3866  3 Bi 4.01-4.18, 3 Cs 4.15-4.24, 1 Cd 4.37
Cs 0.1884 0.3207 0.8866  3 Bi 4.01-4.18, 3 Cs 4.15-4.24, 1 Cd 4.37
Cs 0.2211 0.5276 0.6055  2 Cd 4.02-4.41, 3 Bi 4.08-4.21, 1 Cs 4.18
Cs 0.2211 0.9724 0.1055  2 Cd 4.02-4.41, 3 Bi 4.08-4.21, 1 Cs 4.18
Cs 0.2572 0.5363 0.1610  3 Bi 4.03-4.32, 3 Cd 4.05-4.19, 2 Cs 4.15-4.24
Cs 0.2572 0.9637 0.6610  3 Bi 4.03-4.32, 3 Cd 4.05-4.19, 2 Cs 4.15-4.24
Cs 0.7428 0.0363 0.3390  3 Bi 4.03-4.32, 3 Cd 4.05-4.19, 2 Cs 4.15-4.24
Cs 0.7428 0.4637 0.8390  3 Bi 4.03-4.32, 3 Cd 4.05-4.19, 2 Cs 4.15-4.24
Cs 0.7789 0.0276 0.8945  2 Cd 4.02-4.41, 3 Bi 4.08-4.21, 1 Cs 4.18
Cs 0.7789 0.4724 0.3945  2 Cd 4.02-4.41, 3 Bi 4.08-4.21, 1 Cs 4.18
Cs 0.8116 0.6793 0.1134  3 Bi 4.01-4.18, 3 Cs 4.15-4.24, 1 Cd 4.37
Cs 0.8116 0.8207 0.6134  3 Bi 4.01-4.18, 3 Cs 4.15-4.24, 1 Cd 4.37
Cd 0.4172 0.7346 0.9002  1 Bi 2.94
Cd 0.4172 0.7654 0.4002  1 Bi 2.94
Cd 0.5828 0.2346 0.5998  1 Bi 2.94
Cd 0.5828 0.2654 0.0998  1 Bi 2.94
Bi 0.0869 0.7182 0.8730  1 Cd 2.94
Bi 0.0869 0.7818 0.3730  1 Cd 2.94
Bi 0.9131 0.2182 0.6270  1 Cd 2.94
Bi 0.9131 0.2818 0.1270  1 Cd 2.94

Calculated values
Offset from the most stable computed form (eV/atom): 0.000
Energy of formation (meV per atom): -274

=====

Record 7
A plane-wave DFT calculation with GGA-PBE was carried out for a relaxed Mn2ZnRh crystal.

Unit cell a=8.6549 b=8.6549 c=4.5170 alpha=95.75 beta=95.75 gamma=18.14
Closest atoms and distances in Å follow each position.
Atoms (fractional coordinates):
Mn 0.0000 0.0000 0.0000  10 Mn 2.48-2.73, 2 Rh 2.59-2.60
Mn 0.3850 0.3850 0.1115  5 Mn 2.49-2.73, 4 Rh 2.63-2.65, 3 Zn 2.75-2.78
Mn 0.4997 0.4997 0.4988  8 Mn 2.49-2.73, 4 Rh 2.57
Mn 0.6151 0.6151 0.1947  5 Mn 2.48-2.73, 4 Rh 2.63-2.65, 2 Zn 2.74
Zn 0.2488 0.2488 0.3996  6 Zn 2.62-2.73, 3 Rh 2.67-2.69, 3 Mn 2.74-2.78
Zn 0.7509 0.7509 0.9043  6 Zn 2.62-2.73, 3 Rh 2.68-2.69, 3 Mn 2.75-2.78
Rh 0.1213 0.1213 0.6951  7 Mn 2.57-2.65, 3 Zn 2.67-2.69, 2 Rh 2.73
Rh 0.8785 0.8785 0.6068  7 Mn 2.57-2.65, 3 Zn 2.68-2.69, 2 Rh 2.73

Calculated values
Energy of formation (meV per atom): -81

=====

Record 8
A plane-wave DFT calculation with GGA-PBE was carried out for a relaxed PtSeF crystal.

Unit cell a=4.4945 b=4.8007 c=4.8691 alpha=90.00 beta=90.09 gamma=90.00
Closest atoms and distances in Å follow each position.
Atoms (fractional coordinates):
Pt 0.0274 0.2500 0.1758  2 F 2.23-2.26
Pt 0.9726 0.7500 0.8242  2 F 2.23-2.26
Se 0.1420 0.7500 0.3241  4 Pt 2.55-2.56, 1 F 2.83
Se 0.8580 0.2500 0.6759  4 Pt 2.55-2.56, 1 F 2.83
F 0.4765 0.7500 0.8171  2 Pt 2.23-2.26
F 0.5235 0.2500 0.1829  2 Pt 2.23-2.26

Calculated values
Offset from the most stable computed form (eV/atom): 0.139
Formation energy without anion corrections (meV per atom): -516

=====

no.,magnetization (μB/cell),N(E_F) (states/eV/cell)
1,0.10,5.1
2,0.00,2.8
3,0.00,2.2
4,0.00,1.5
5,0.00,1.4
6,0.00,0.7
7,2.18,6.2
8,0.00,2.0